a.
First-principles (GGA-PBE) data for an optimized crystal structure of CsNbB2, as listed in Alexandria via LeMat-Bulk.

Properties
magnetization = 0.00 μB/cell

Lattice parameters (Å, degrees): 4.566 4.566 4.566 60.00 60.00 60.00
Fractional coordinates of all 4 atoms:
Cs 0.500 0.500 0.500
Nb 0.000 0.000 0.000
B 0.250 0.250 0.250
B 0.750 0.750 0.750



b.
First-principles (GGA-PBE) data for an optimized crystal structure of CsNbB2, as listed in Alexandria via LeMat-Bulk.

Properties
magnetization = 0.00 μB/cell

Lattice parameters (Å, degrees): 6.930 6.930 6.804 59.39 59.39 90.00
Fractional coordinates of all 8 atoms:
Cs 0.000 0.000 0.000
Cs 0.750 0.250 0.500
Nb 0.500 0.500 0.000
Nb 0.250 0.750 0.500
B 0.450 0.125 0.250
B 0.300 0.625 0.250
B 0.375 0.550 0.750
B 0.875 0.700 0.750



In order of decreasing stability: b, a.



a.
First-principles (GGA-PBE) data for an optimized crystal structure of CsNi3B, as listed in Alexandria via LeMat-Bulk.

Properties
magnetization = 0.00 μB/cell

Lattice parameters (Å, degrees): 4.196 4.196 4.196 90.00 90.00 90.00
Fractional coordinates of all 5 atoms:
Cs 0.500 0.500 0.500
Ni 0.000 0.500 0.000
Ni 0.000 0.000 0.500
Ni 0.500 0.000 0.000
B 0.000 0.000 0.000



b.
First-principles (GGA-PBE) data for an optimized crystal structure of CsNi3B, as listed in Alexandria via LeMat-Bulk.

Properties
magnetization = 0.00 μB/cell

Lattice parameters (Å, degrees): 4.796 4.796 4.796 90.00 90.00 90.00
Fractional coordinates of all 5 atoms:
Cs 0.000 0.000 0.000
Ni 0.000 0.500 0.000
Ni 0.000 0.000 0.500
Ni 0.500 0.000 0.000
B 0.500 0.500 0.500



In order of decreasing stability: a, b.



a.
First-principles (GGA-PBE) data for an optimized crystal structure of CsNiB3, as listed in Alexandria via LeMat-Bulk.

Properties
magnetization = 0.49 μB/cell

Lattice parameters (Å, degrees): 4.791 4.791 4.791 90.00 90.00 90.00
Site moments in Bohr magnetons follow the coordinates.
Fractional coordinates of all 5 atoms:
Cs 0.000 0.000 0.000  -0.02
Ni 0.500 0.500 0.500  0.65
B 0.000 0.500 0.000  -0.02
B 0.000 0.000 0.500  -0.01
B 0.500 0.000 0.000  -0.03



b.
First-principles (GGA-PBE) data for an optimized crystal structure of CsNiB3, as listed in Alexandria via LeMat-Bulk.

Properties
magnetization = 0.00 μB/cell

Lattice parameters (Å, degrees): 4.162 4.162 4.162 90.00 90.00 90.00
Fractional coordinates of all 5 atoms:
Cs 0.500 0.500 0.500
Ni 0.000 0.000 0.000
B 0.000 0.500 0.000
B 0.000 0.000 0.500
B 0.500 0.000 0.000



In order of decreasing stability: b, a.



a.
First-principles (GGA-PBE) data for an optimized crystal structure of Cs3B2O4, as listed in Alexandria via LeMat-Bulk.

Properties
magnetization = 0.00 μB/cell

Lattice parameters (Å, degrees): 4.158 7.899 12.256 125.44 70.34 121.49
Fractional coordinates of all 9 atoms:
Cs 0.656 0.310 0.656
Cs 0.000 0.000 0.000
Cs 0.344 0.690 0.344
B 0.362 0.185 0.323
B 0.638 0.815 0.677
O 0.520 0.263 0.243
O 0.480 0.737 0.757
O 0.793 0.888 0.595
O 0.207 0.112 0.405



b.
First-principles (GGA-PBE) data for an optimized crystal structure of Cs3B2O4, as listed in Alexandria via LeMat-Bulk.

Properties
magnetization = 0.00 μB/cell

Lattice parameters (Å, degrees): 10.759 8.770 8.770 55.68 109.41 109.41
Fractional coordinates of all 18 atoms:
Cs 0.804 0.034 0.360
Cs 0.696 0.640 0.966
Cs 0.196 0.966 0.640
Cs 0.304 0.360 0.034
Cs 0.250 0.632 0.368
Cs 0.750 0.368 0.632
B 0.537 0.127 0.410
B 0.963 0.590 0.873
B 0.463 0.873 0.590
B 0.037 0.410 0.127
O 0.401 0.019 0.412
O 0.099 0.588 0.981
O 0.599 0.981 0.588
O 0.901 0.412 0.019
O 0.089 0.292 0.297
O 0.411 0.703 0.708
O 0.911 0.708 0.703
O 0.589 0.297 0.292



In order of decreasing stability: b, a.



a.
First-principles (GGA-PBE) data for an optimized crystal structure of CsB3Os, as listed in Alexandria via LeMat-Bulk.

Properties
magnetization = 0.00 μB/cell

Lattice parameters (Å, degrees): 4.338 4.338 4.338 90.00 90.00 90.00
Fractional coordinates of all 5 atoms:
Cs 0.500 0.500 0.500
B 0.000 0.500 0.000
B 0.000 0.000 0.500
B 0.500 0.000 0.000
Os 0.000 0.000 0.000



b.
First-principles (GGA-PBE) data for an optimized crystal structure of CsB3Os, as listed in Alexandria via LeMat-Bulk.

Properties
magnetization = 0.00 μB/cell

Lattice parameters (Å, degrees): 4.337 4.337 4.337 90.00 90.00 90.00
Fractional coordinates of all 5 atoms:
Cs 0.000 0.000 0.000
B 0.000 0.500 0.000
B 0.000 0.000 0.500
B 0.500 0.000 0.000
Os 0.500 0.500 0.500



In order of decreasing stability: a, b.



a.
First-principles (GGA-PBE) data for an optimized crystal structure of CsBP3, as listed in Alexandria via LeMat-Bulk.

Properties
magnetization = 0.00 μB/cell

Lattice parameters (Å, degrees): 4.572 4.572 4.572 90.00 90.00 90.00
Fractional coordinates of all 5 atoms:
Cs 0.500 0.500 0.500
P 0.000 0.500 0.000
P 0.000 0.000 0.500
P 0.500 0.000 0.000
B 0.000 0.000 0.000



b.
First-principles (GGA-PBE) data for an optimized crystal structure of CsBP3, as listed in Alexandria via LeMat-Bulk.

Properties
magnetization = 2.14 μB/cell

Lattice parameters (Å, degrees): 5.590 5.590 5.590 90.00 90.00 90.00
Site moments in Bohr magnetons follow the coordinates.
Fractional coordinates of all 5 atoms:
Cs 0.000 0.000 0.000  0.01
P 0.000 0.500 0.000  0.35
P 0.000 0.000 0.500  0.39
P 0.500 0.000 0.000  0.24
B 0.500 0.500 0.500  -0.06



In order of decreasing stability: a, b.



a.
First-principles (GGA-PBE) data for an optimized crystal structure of CsBP2S, as listed in Alexandria via LeMat-Bulk.

Properties
magnetization = 0.00 μB/cell

Lattice parameters (Å, degrees): 4.443 4.443 4.965 90.00 90.00 90.00
Fractional coordinates of all 5 atoms:
Cs 0.500 0.500 0.500
P 0.000 0.500 0.000
P 0.500 0.000 0.000
S 0.000 0.000 0.500
B 0.000 0.000 0.000



b.
First-principles (GGA-PBE) data for an optimized crystal structure of CsBP2S, as listed in Alexandria via LeMat-Bulk.

Properties
magnetization = 2.93 μB/cell

Lattice parameters (Å, degrees): 5.931 5.931 5.485 90.00 90.00 90.00
Site moments in Bohr magnetons follow the coordinates.
Fractional coordinates of all 5 atoms:
Cs 0.000 0.000 0.000  -0.01
P 0.000 0.500 0.000  0.61
P 0.500 0.000 0.000  0.61
S 0.000 0.000 0.500  0.18
B 0.500 0.500 0.500  -0.10



In order of decreasing stability: a, b.



a.
First-principles (GGA-PBE) data for an optimized crystal structure of CsB3Pb, as listed in Alexandria via LeMat-Bulk.

Properties
magnetization = 0.00 μB/cell

Lattice parameters (Å, degrees): 4.969 4.969 4.969 90.00 90.00 90.00
Fractional coordinates of all 5 atoms:
Pb 0.500 0.500 0.500
Cs 0.000 0.000 0.000
B 0.000 0.500 0.000
B 0.000 0.000 0.500
B 0.500 0.000 0.000



b.
First-principles (GGA-PBE) data for an optimized crystal structure of CsB3Pb, as listed in Alexandria via LeMat-Bulk.

Properties
magnetization = 0.00 μB/cell

Lattice parameters (Å, degrees): 5.051 5.051 5.051 90.00 90.00 90.00
Fractional coordinates of all 5 atoms:
Pb 0.000 0.000 0.000
Cs 0.500 0.500 0.500
B 0.000 0.500 0.000
B 0.000 0.000 0.500
B 0.500 0.000 0.000



In order of decreasing stability: b, a.



a.
First-principles (GGA-PBE) data for an optimized crystal structure of CsBPb3, as listed in Alexandria via LeMat-Bulk.

Properties
magnetization = 0.00 μB/cell

Lattice parameters (Å, degrees): 5.435 5.435 5.435 90.00 90.00 90.00
Fractional coordinates of all 5 atoms:
Pb 0.000 0.500 0.000
Pb 0.000 0.000 0.500
Pb 0.500 0.000 0.000
Cs 0.500 0.500 0.500
B 0.000 0.000 0.000



b.
First-principles (GGA-PBE) data for an optimized crystal structure of CsBPb3, as listed in Alexandria via LeMat-Bulk.

Properties
magnetization = 0.00 μB/cell

Lattice parameters (Å, degrees): 6.369 6.369 6.369 90.00 90.00 90.00
Fractional coordinates of all 5 atoms:
Pb 0.000 0.500 0.000
Pb 0.000 0.000 0.500
Pb 0.500 0.000 0.000
Cs 0.000 0.000 0.000
B 0.500 0.500 0.500



In order of decreasing stability: a, b.



a.
First-principles (GGA-PBE) data for an optimized crystal structure of CsScBPb2, as listed in Alexandria via LeMat-Bulk.

Properties
magnetization = 0.00 μB/cell

Lattice parameters (Å, degrees): 5.176 5.502 5.176 90.00 90.00 90.00
Fractional coordinates of all 5 atoms:
Pb 0.000 0.000 0.500
Pb 0.500 0.000 0.000
Cs 0.000 0.500 0.000
B 0.000 0.000 0.000
Sc 0.500 0.500 0.500



b.
First-principles (GGA-PBE) data for an optimized crystal structure of CsScBPb2, as listed in Alexandria via LeMat-Bulk.

Properties
magnetization = 0.00 μB/cell

Lattice parameters (Å, degrees): 5.545 4.825 5.545 90.00 90.00 90.00
Fractional coordinates of all 5 atoms:
Pb 0.000 0.000 0.500
Pb 0.500 0.000 0.000
Cs 0.500 0.500 0.500
B 0.000 0.000 0.000
Sc 0.000 0.500 0.000



In order of decreasing stability: b, a.



a.
First-principles (GGA-PBE) data for an optimized crystal structure of Cs2BPt, as listed in Alexandria via LeMat-Bulk.

Properties
magnetization = 1.00 μB/cell

Lattice parameters (Å, degrees): 5.807 5.807 5.807 60.00 60.00 60.00
Site moments in Bohr magnetons follow the coordinates.
Fractional coordinates of all 4 atoms:
Cs 0.250 0.250 0.250  0.03
Cs 0.750 0.750 0.750  0.03
B 0.000 0.000 0.000  0.41
Pt 0.500 0.500 0.500  -0.21



b.
First-principles (GGA-PBE) data for an optimized crystal structure of Cs2BPt, as listed in Alexandria via LeMat-Bulk.

Properties
magnetization = 1.97 μB/cell

Lattice parameters (Å, degrees): 7.378 7.378 7.378 101.99 101.99 125.76
Site moments in Bohr magnetons follow the coordinates.
Fractional coordinates of all 8 atoms:
Cs 0.888 0.375 0.013  0.02
Cs 0.362 0.875 0.987  0.02
Cs 0.125 0.112 0.487  0.02
Cs 0.625 0.638 0.513  0.02
B 0.500 0.500 0.000  0.35
B 0.750 0.250 0.500  0.35
Pt 0.000 0.000 0.000  -0.08
Pt 0.250 0.750 0.500  -0.08



In order of decreasing stability: a, b.



a.
First-principles (GGA-PBE) data for an optimized crystal structure of CsRe3B, as listed in Alexandria via LeMat-Bulk.

Properties
magnetization = 1.60 μB/cell

Lattice parameters (Å, degrees): 4.366 4.366 4.366 90.00 90.00 90.00
Site moments in Bohr magnetons follow the coordinates.
Fractional coordinates of all 5 atoms:
Cs 0.500 0.500 0.500  0.09
Re 0.000 0.500 0.000  0.48
Re 0.000 0.000 0.500  0.41
Re 0.500 0.000 0.000  0.43
B 0.000 0.000 0.000  -0.02



b.
First-principles (GGA-PBE) data for an optimized crystal structure of CsRe3B, as listed in Alexandria via LeMat-Bulk.

Properties
magnetization = 3.80 μB/cell

Lattice parameters (Å, degrees): 4.947 4.947 4.947 90.00 90.00 90.00
Site moments in Bohr magnetons follow the coordinates.
Fractional coordinates of all 5 atoms:
Cs 0.000 0.000 0.000  0.01
Re 0.000 0.500 0.000  1.02
Re 0.000 0.000 0.500  1.20
Re 0.500 0.000 0.000  1.19
B 0.500 0.500 0.500  -0.02



In order of decreasing stability: a, b.



a.
First-principles (GGA-PBE) data for an optimized crystal structure of CsBRh3, as listed in Alexandria via LeMat-Bulk.

Properties
magnetization = 0.00 μB/cell

Lattice parameters (Å, degrees): 4.368 4.368 4.368 90.00 90.00 90.00
Fractional coordinates of all 5 atoms:
Cs 0.500 0.500 0.500
B 0.000 0.000 0.000
Rh 0.000 0.500 0.000
Rh 0.000 0.000 0.500
Rh 0.500 0.000 0.000



b.
First-principles (GGA-PBE) data for an optimized crystal structure of CsBRh3, as listed in Alexandria via LeMat-Bulk.

Properties
magnetization = 1.10 μB/cell

Lattice parameters (Å, degrees): 4.969 4.969 4.969 90.00 90.00 90.00
Site moments in Bohr magnetons follow the coordinates.
Fractional coordinates of all 5 atoms:
Cs 0.000 0.000 0.000  0.00
B 0.500 0.500 0.500  -0.02
Rh 0.000 0.500 0.000  0.46
Rh 0.000 0.000 0.500  0.27
Rh 0.500 0.000 0.000  0.40



In order of decreasing stability: a, b.



a.
First-principles (GGA-PBE) data for an optimized crystal structure of CsBRu3, as listed in Alexandria via LeMat-Bulk.

Properties
magnetization = 4.17 μB/cell

Lattice parameters (Å, degrees): 4.959 4.959 4.959 90.00 90.00 90.00
Site moments in Bohr magnetons follow the coordinates.
Fractional coordinates of all 5 atoms:
Cs 0.000 0.000 0.000  -0.01
Ru 0.000 0.500 0.000  1.55
Ru 0.000 0.000 0.500  1.38
Ru 0.500 0.000 0.000  1.40
B 0.500 0.500 0.500  -0.10



b.
First-principles (GGA-PBE) data for an optimized crystal structure of CsBRu3, as listed in Alexandria via LeMat-Bulk.

Properties
magnetization = 1.42 μB/cell

Lattice parameters (Å, degrees): 4.330 4.330 4.330 90.00 90.00 90.00
Site moments in Bohr magnetons follow the coordinates.
Fractional coordinates of all 5 atoms:
Cs 0.500 0.500 0.500  0.07
Ru 0.000 0.500 0.000  0.54
Ru 0.000 0.000 0.500  0.42
Ru 0.500 0.000 0.000  0.35
B 0.000 0.000 0.000  -0.03



In order of decreasing stability: b, a.